*w*
! Sr2CuCl GGA-PBE relaxed; values from VASP
! Space-group type = Fm-3m (225)
&SYSTEM
  ibrav = 0, nat = 4, ntyp = 3
/
ATOMIC_SPECIES
Sr 87.62 Sr.upf
Cu 63.55 Cu.upf
Cl 35.45 Cl.upf
CELL_PARAMETERS angstrom
0.0000 3.9095 3.9095
3.9095 0.0000 3.9095
3.9095 3.9095 0.0000
ATOMIC_POSITIONS crystal
Sr 0.2500 0.2500 0.2500
Sr 0.7500 0.7500 0.7500
Cu 0.0000 0.0000 0.0000
Cl 0.5000 0.5000 0.5000

*x*
! Sr2CuCl GGA-PBE relaxed; values from VASP
! Space-group type = P2/m (10)
&SYSTEM
  ibrav = 0, nat = 4, ntyp = 3
/
ATOMIC_SPECIES
Sr 87.62 Sr.upf
Cu 63.55 Cu.upf
Cl 35.45 Cl.upf
CELL_PARAMETERS angstrom
3.9866 0.0000 0.0000
0.0000 3.8175 0.0000
-0.0551 0.0000 8.3516
ATOMIC_POSITIONS crystal
Sr 0.0010 0.0000 0.2171
Sr 0.9990 0.0000 0.7829
Cu 0.5000 0.5000 0.0000
Cl 0.0000 0.5000 0.5000

Energetically preferred structure: *x* | next structure: +18.8 kJ/mol of atoms